[1]
The following is a DFT calculation (PBE) of crystalline NpScTlO6 at its relaxed geometry.

Results
DOS at the Fermi energy: 0.569 states/eV/cell
total magnetization: 1.000 μB per formula unit
space-group type: P-31c, No. 163
VASP energy: -143.66 eV for the cell shown
theoretical density: 7.81 Mg/m³

a b c (Å): 5.5168 5.5168 9.3931
angles (deg): 90.00 90.00 120.00
Fractional coordinates of all 18 atoms:
Np  0.3333  0.6667  0.2500
Np  0.6667  0.3333  0.7500
Sc  0.0000  0.0000  0.0000
Sc  0.0000  0.0000  0.5000
Tl  0.3333  0.6667  0.7500
Tl  0.6667  0.3333  0.2500
O  0.0304  0.3424  0.1256
O  0.0304  0.6879  0.3744
O  0.3121  0.3424  0.3744
O  0.3121  0.9696  0.1256
O  0.3424  0.0304  0.6256
O  0.3424  0.3121  0.8744
O  0.6576  0.6879  0.1256
O  0.6576  0.9696  0.3744
O  0.6879  0.0304  0.8744
O  0.6879  0.6576  0.6256
O  0.9696  0.3121  0.6256
O  0.9696  0.6576  0.8744

=====

[2]
The following is a DFT calculation (PBE) of crystalline TmNpSc2O8 at its relaxed geometry.

Results
total magnetization: 0.000 μB per formula unit
space-group type: Cmmm, No. 65
VASP energy: -107.69 eV for the cell shown
theoretical density: 6.41 Mg/m³

a b c (Å): 4.8967 4.8967 6.7388
angles (deg): 90.00 90.00 90.15
Fractional coordinates of all 12 atoms:
Tm  0.0000  0.0000  0.0000
Np  0.0000  0.0000  0.5000
Sc  0.5000  0.5000  0.2306
Sc  0.5000  0.5000  0.7694
O  0.1928  0.8072  0.2697
O  0.1928  0.8072  0.7303
O  0.2890  0.2890  0.5000
O  0.3144  0.3144  0.0000
O  0.6856  0.6856  0.0000
O  0.7110  0.7110  0.5000
O  0.8072  0.1928  0.2697
O  0.8072  0.1928  0.7303

=====

[3]
The following is a DFT calculation (PBE) of crystalline TmNpScO6 at its relaxed geometry.

Results
total magnetization: 1.000 μB per formula unit
space-group type: P-31c, No. 163
VASP energy: -163.33 eV for the cell shown
theoretical density: 7.45 Mg/m³

a b c (Å): 5.5904 5.5904 9.0042
angles (deg): 90.00 90.00 120.00
Fractional coordinates of all 18 atoms:
Tm  0.3333  0.6667  0.2500
Tm  0.6667  0.3333  0.7500
Np  0.3333  0.6667  0.7500
Np  0.6667  0.3333  0.2500
Sc  0.0000  0.0000  0.0000
Sc  0.0000  0.0000  0.5000
O  0.0216  0.3438  0.6290
O  0.0216  0.6778  0.8710
O  0.3222  0.3438  0.8710
O  0.3222  0.9784  0.6290
O  0.3438  0.0216  0.1290
O  0.3438  0.3222  0.3710
O  0.6562  0.6778  0.6290
O  0.6562  0.9784  0.8710
O  0.6778  0.0216  0.3710
O  0.6778  0.6562  0.1290
O  0.9784  0.3222  0.1290
O  0.9784  0.6562  0.3710

=====

[4]
The following is a DFT calculation (PBE) of crystalline NpSc2UO8 at its relaxed geometry.

Results
DOS at the Fermi energy: 10.095 states/eV/cell
total magnetization: 3.000 μB per formula unit
space-group type: Cmmm, No. 65
VASP energy: -115.66 eV for the cell shown
theoretical density: 7.04 Mg/m³

a b c (Å): 4.8709 4.8709 6.8898
angles (deg): 90.00 90.00 90.84
Fractional coordinates of all 12 atoms:
Np  0.0000  0.0000  0.0000
Sc  0.5000  0.5000  0.2516
Sc  0.5000  0.5000  0.7484
U  0.0000  0.0000  0.5000
O  0.1954  0.8046  0.2558
O  0.1954  0.8046  0.7442
O  0.3046  0.3046  0.0000
O  0.3063  0.3063  0.5000
O  0.6937  0.6937  0.5000
O  0.6954  0.6954  0.0000
O  0.8046  0.1954  0.2558
O  0.8046  0.1954  0.7442

=====

[5]
The following is a DFT calculation (PBE) of crystalline NpScUO6 at its relaxed geometry.

Results
DOS at the Fermi energy: 20.905 states/eV/cell
total magnetization: 4.000 μB per formula unit
space-group type: P-31c, No. 163
VASP energy: -177.73 eV for the cell shown
theoretical density: 7.93 Mg/m³

a b c (Å): 5.5803 5.5803 9.5668
angles (deg): 90.00 90.00 120.00
Fractional coordinates of all 18 atoms:
Np  0.0000  0.0000  0.0000
Np  0.0000  0.0000  0.5000
Sc  0.3333  0.6667  0.2500
Sc  0.6667  0.3333  0.7500
U  0.3333  0.6667  0.7500
U  0.6667  0.3333  0.2500
O  0.0011  0.3430  0.1347
O  0.0011  0.6582  0.3653
O  0.3418  0.3430  0.3653
O  0.3418  0.9989  0.1347
O  0.3430  0.0011  0.6347
O  0.3430  0.3418  0.8653
O  0.6570  0.6582  0.1347
O  0.6570  0.9989  0.3653
O  0.6582  0.0011  0.8653
O  0.6582  0.6570  0.6347
O  0.9989  0.3418  0.6347
O  0.9989  0.6570  0.8653